1.
A geometry-optimized CrTeMoN2 structure. Source: the Alexandria database, functional GGA-PBE.

Summary:
**Polymorph energy (0 for the lowest one)**: 0.420 eV/atom
**Space-group type**: P4/mmm (123)
**Energy relative to the elements, uncorrected**: 0.984 eV per atom
**Calculated volume**: 16.31 Å³ per atom
**Uncorrected energy**: -35.328 eV/cell

Lattice parameters (Å, degrees): 3.835 3.835 5.546 90.00 90.00 90.00
Positions (direct):
Cr  0.000  0.000  0.000
Mo  0.500  0.500  0.500
Te  0.000  0.000  0.500
N  0.000  0.500  0.000
N  0.500  0.000  0.000

***

2.
A geometry-optimized Th2CrMoN6 structure. Source: the Alexandria database, functional GGA-PBE.

Summary:
**Space-group type**: P4mm (99)
**Energy relative to the elements, uncorrected**: -0.910 eV per atom
**Calculated volume**: 12.99 Å³ per atom
**Uncorrected energy**: -94.347 eV/cell

Lattice parameters (Å, degrees): 4.294 5.499 5.499 90.00 90.00 90.00
Positions (direct):
Th  0.031  0.500  0.000
Th  0.031  0.000  0.500
Cr  0.593  0.500  0.500
Mo  0.601  0.000  0.000
N  0.705  0.254  0.254
N  0.705  0.254  0.746
N  0.200  0.500  0.500
N  0.173  0.000  0.000
N  0.705  0.746  0.746
N  0.705  0.746  0.254